Density functional theory data (GGA-PBE) for crystalline Sm2MnGa4Ni3 at its relaxed geometry.

a = 4.0383 Å, b = 4.0383 Å, c = 10.5481 Å
α = 90.00°, β = 90.00°, γ = 90.00°
With the nearest neighbours (Å) after each atom.
Fractional positions:
Ni: 0.0000 0.0000 0.5000  4 Ga 2.50
Ga: 0.5000 0.0000 0.6392  3 Ni 2.42-2.50, 2 Mn 2.50
Sm: 0.5000 0.0000 0.2434  6 Ni 3.09-3.38, 8 Ga 3.11-3.27, 2 Mn 3.38
Mn: 0.5000 0.5000 0.5000  4 Ga 2.50
Ni: 0.0000 0.5000 0.1316  5 Ga 2.42-2.45
Ni: 0.5000 0.0000 0.8684  5 Ga 2.42-2.45
Ga: 0.0000 0.5000 0.3608  3 Ni 2.42-2.50, 2 Mn 2.50
Sm: 0.0000 0.5000 0.7566  6 Ni 3.09-3.38, 8 Ga 3.11-3.27, 2 Mn 3.38
Ga: 0.5000 0.5000 0.0000  4 Ni 2.45
Ga: 0.0000 0.0000 0.0000  4 Ni 2.45

Spin magnetization, μB per cell: 2.99
Symmetry: P-4m2
Raw total energy, eV per atom: -5.296
Calculated formation energy, eV per atom: -0.49
N(E_F), states/eV/cell: 7.01